# K2MgCd12Au3 PBE-GGA relaxed
data_K2MgCd12Au3
_space_group_name_H-M_alt 'R -3 m'
_space_group_IT_number 166
_space_group_name_Hall '-R 3 2"'
_cell_length_a 9.8511
_cell_length_b 9.8511
_cell_length_c 20.6700
_cell_angle_alpha 90.00
_cell_angle_beta 90.00
_cell_angle_gamma 120.00
loop_
_atom_site_label
_atom_site_type_symbol
_atom_site_fract_x
_atom_site_fract_y
_atom_site_fract_z
K1 K 0.0000 0.0000 0.0962
Mg1 Mg 0.0000 0.0000 0.5000
Cd1 Cd 0.0068 0.5034 0.1368
Cd2 Cd 0.1082 0.5541 0.3906
Au1 Au 0.0000 0.5000 0.0000
# - size of the total moment (μB/atom) = 0.0000
# - DOS(E_F) (states/eV per atom) = 0.317


# KMg2CdAu4 PBE-GGA relaxed
data_KMg2CdAu4
_space_group_name_H-M_alt 'R -3 m'
_space_group_IT_number 166
_space_group_name_Hall '-R 3 2"'
_cell_length_a 4.6681
_cell_length_b 4.6681
_cell_length_c 30.3304
_cell_angle_alpha 90.00
_cell_angle_beta 90.00
_cell_angle_gamma 120.00
loop_
_atom_site_label
_atom_site_type_symbol
_atom_site_fract_x
_atom_site_fract_y
_atom_site_fract_z
K1 K 0.0000 0.0000 0.0000
Mg1 Mg 0.0000 0.0000 0.2321
Cd1 Cd 0.0000 0.0000 0.5000
Au1 Au 0.0000 0.0000 0.1237
Au2 Au 0.0000 0.0000 0.4079
# - size of the total moment (μB/atom) = 0.0000
# - DOS(E_F) (states/eV per atom) = 0.134


# KMgCd2Au4 PBE-GGA relaxed
data_KMgCd2Au4
_space_group_name_H-M_alt 'R -3 m'
_space_group_IT_number 166
_space_group_name_Hall '-R 3 2"'
_cell_length_a 4.7391
_cell_length_b 4.7391
_cell_length_c 28.9770
_cell_angle_alpha 90.00
_cell_angle_beta 90.00
_cell_angle_gamma 120.00
loop_
_atom_site_label
_atom_site_type_symbol
_atom_site_fract_x
_atom_site_fract_y
_atom_site_fract_z
K1 K 0.0000 0.0000 0.0000
Mg1 Mg 0.0000 0.0000 0.5000
Cd1 Cd 0.0000 0.0000 0.2387
Au1 Au 0.0000 0.0000 0.1352
Au2 Au 0.0000 0.0000 0.4073
# - size of the total moment (μB/atom) = 0.0000
# - DOS(E_F) (states/eV per atom) = 0.444


| no. | volume (A^3/atom) | E_form (kcal/mol of atoms) |
| --- | --- | --- |
| 1 | 32.17 | 1.44 |
| 2 | 23.85 | -7.98 |
| 3 | 23.48 | -6.25 |